Record 1
The following is a PBE-GGA calculation of crystalline CrReNi3 at its relaxed geometry, from Alexandria.

Cell: 4.1318 4.1318 4.1318 Å, 90.00 90.00 90.00°
Closest atoms and distances in Å follow each position.
Fractional positions:
Cr1 0.0000 0.0000 0.0000  6 Ni 2.07
Ni1 0.5000 0.0000 0.0000  2 Cr 2.07
Ni2 0.0000 0.5000 0.0000  2 Cr 2.07
Ni3 0.0000 0.0000 0.5000  2 Cr 2.07
Re1 0.5000 0.5000 0.5000  12 Ni 2.92

## Properties
VASP energy = -6.40 eV per atom
ΔH_f (0 K) = 1.485 eV per atom
crystal system = cubic

Record 2
The following is a PBE-GGA calculation of crystalline Ac3Tl4BiS8 at its relaxed geometry, from Alexandria.

Cell: 8.7243 8.9958 8.7242 Å, 119.01 120.00 90.00°
Closest atoms and distances in Å follow each position.
Fractional positions:
S1 0.7459 0.7097 0.9779  1 Bi 2.90, 2 Ac 2.99
S2 0.2625 0.2875 0.5249  3 Ac 2.97-2.98, 3 Tl 3.31
S3 0.7375 0.7125 0.4751  3 Ac 2.97-2.98, 3 Tl 3.31
S4 0.7680 0.2902 0.5359  1 Bi 2.91, 2 Ac 2.99
S5 0.7680 0.2903 0.0221  1 Bi 2.90, 2 Ac 2.99
S6 0.2541 0.2903 0.0221  1 Bi 2.90, 2 Ac 2.99
S7 0.2320 0.7097 0.9779  1 Bi 2.90, 2 Ac 2.99
S8 0.2320 0.7098 0.4641  1 Bi 2.91, 2 Ac 2.99
Ac1 0.5000 0.5000 0.5000  6 S 2.97-2.99
Ac2 0.0000 0.5000 0.5000  6 S 2.97-2.99
Ac3 0.5000 0.5000 0.0000  6 S 2.98-2.99
Tl1 0.0000 0.0000 0.0000  6 S 3.29-3.31
Tl2 0.5000 0.0000 0.5000  6 S 3.29-3.31
Tl3 0.5000 0.0000 0.0000  6 S 3.37
Tl4 0.0000 0.0000 0.5000  6 S 3.29-3.31
Bi1 0.0000 0.5000 0.0000  6 S 2.90-2.91

## Properties
VASP energy = -4.89 eV per atom
formation energy from raw total energies = -1222 meV per atom
crystal system = trigonal

Record 3
The following is a PBE-GGA calculation of crystalline SrCd2Sb2 at its relaxed geometry, from Alexandria.

Cell: 8.6072 8.6072 3.8100 Å, 90.00 90.00 90.00°
Closest atoms and distances in Å follow each position.
Fractional positions:
Sr1 0.0000 0.0000 0.0000  4 Cd 3.44, 8 Sb 3.68, 2 Sr 3.81
Sr2 0.5000 0.5000 0.0000  4 Cd 3.44, 8 Sb 3.68, 2 Sr 3.81
Sb1 0.3147 0.1853 0.5000  6 Cd 3.07-3.28
Sb2 0.6853 0.8147 0.5000  6 Cd 3.07-3.28
Sb3 0.8147 0.3147 0.5000  6 Cd 3.07-3.28
Sb4 0.1853 0.6853 0.5000  6 Cd 3.07-3.28
Cd1 0.3826 0.8826 0.0000  1 Cd 2.86, 2 Sb 3.07
Cd2 0.8826 0.6174 0.0000  1 Cd 2.86, 2 Sb 3.07
Cd3 0.6174 0.1174 0.0000  1 Cd 2.86, 2 Sb 3.07
Cd4 0.1174 0.3826 0.0000  1 Cd 2.86, 2 Sb 3.07

## Properties
VASP energy = -2.64 eV per atom
formation energy from raw total energies = -288 meV per atom
crystal system = tetragonal

Record 4
The following is a PBE-GGA calculation of crystalline AsWSe2N at its relaxed geometry, from Alexandria.

Cell: 5.0926 5.0926 3.5228 Å, 90.00 90.00 90.00°
Closest atoms and distances in Å follow each position.
Fractional positions:
W1 0.5000 0.5000 0.5000  8 Se 3.10
Se1 0.0000 0.5000 0.0000  2 As 2.55
Se2 0.5000 0.0000 0.0000  2 As 2.55
N1 0.0000 0.0000 0.5000  2 As 1.76
As1 0.0000 0.0000 0.0000  2 N 1.76

## Properties
VASP energy = -5.20 eV per atom
formation energy from raw total energies = 1377 meV per atom
crystal system = tetragonal

Record 5
The following is a PBE-GGA calculation of crystalline Er2Ge3Pd2 at its relaxed geometry, from Alexandria.

Cell: 4.2588 5.5527 6.6445 Å, 110.90 90.00 112.55°
Closest atoms and distances in Å follow each position.
Fractional positions:
Pd1 0.1449 0.2899 0.2392  5 Ge 2.58-2.73
Pd2 0.8551 0.7101 0.7608  5 Ge 2.58-2.73
Ge1 0.5000 0.0000 0.0000  4 Pd 2.73, 2 Ge 2.74
Ge2 0.3914 0.7827 0.5531  3 Pd 2.58-2.64, 2 Ge 2.58-2.74
Ge3 0.6086 0.2173 0.4469  3 Pd 2.58-2.64, 2 Ge 2.58-2.74
Er1 0.1494 0.2988 0.7818  4 Pd 2.97-3.06, 7 Ge 2.99-3.32
Er2 0.8506 0.7012 0.2182  4 Pd 2.97-3.06, 7 Ge 2.99-3.32

## Properties
VASP energy = -5.48 eV per atom
ΔH_f (0 K) = -0.718 eV per atom
crystal system = monoclinic

Record 6
The following is a PBE-GGA calculation of crystalline NaSrLa2 at its relaxed geometry, from Alexandria.

Cell: 9.6668 9.6668 7.6295 Å, 50.69 50.69 90.00°
Closest atoms and distances in Å follow each position.
Fractional positions:
La1 0.3750 0.3925 0.7500  2 La 3.41, 2 Na 3.41, 2 Sr 3.64
La2 0.8750 0.8575 0.7500  2 La 3.41, 2 Na 3.41, 2 Sr 3.64
La3 0.1425 0.6250 0.2500  2 La 3.41, 2 Na 3.41, 2 Sr 3.64
La4 0.6075 0.1250 0.2500  2 La 3.41, 2 Na 3.41, 2 Sr 3.64
Sr1 0.0000 0.0000 0.0000  2 Na 3.39, 4 La 3.64
Sr2 0.7500 0.2500 0.5000  2 Na 3.39, 4 La 3.64
Na1 0.5000 0.5000 0.0000  2 Sr 3.39, 4 La 3.41
Na2 0.2500 0.7500 0.5000  2 Sr 3.39, 4 La 3.41

## Properties
VASP energy = -2.83 eV per atom
ΔH_f (0 K) = 0.384 eV per atom
crystal system = tetragonal